[1]
This record from Alexandria via LeMat-Bulk describes TbPmGa2Pt5 after structural relaxation. The functional is PBE-GGA.

Summary:
As for the final energy: -0.2202 Ha/atom. The formation energy comes out at -921 meV per atom.

Cell lengths 4.2134, 4.2134, 9.3768 Å; angles 90.00, 90.00, 90.00 degrees
Element x y z (fractional)
Tb: 0.0000 0.0000 0.0000
Pm: 0.0000 0.0000 0.5000
Ga: 0.5000 0.5000 0.1306
Ga: 0.5000 0.5000 0.8694
Pt: 0.0000 0.5000 0.2715
Pt: 0.5000 0.0000 0.2715
Pt: 0.0000 0.5000 0.7285
Pt: 0.5000 0.0000 0.7285
Pt: 0.5000 0.5000 0.5000



[2]
This record from Alexandria via LeMat-Bulk describes TbPmGaPt after structural relaxation. The functional is PBE-GGA.

Summary:
As for the final energy: -0.2024 Ha/atom. The formation energy comes out at -896 meV per atom. The offset from the most stable computed form is 0.0000 eV/atom.

Cell lengths 3.9009, 4.3869, 5.9263 Å; angles 90.00, 109.22, 90.00 degrees
Element x y z (fractional)
Tb: 0.1389 0.0000 0.2778
Pm: 0.8541 0.5000 0.7081
Ga: 0.4275 0.0000 0.8550
Pt: 0.5796 0.5000 0.1591



[3]
This record from Alexandria via LeMat-Bulk describes TbPm2Ga4Pt3 after structural relaxation. The functional is PBE-GGA.

Summary:
As for the final energy: -0.1952 Ha/atom. The formation energy comes out at -876 meV per atom.

Cell lengths 4.2448, 4.2448, 11.6360 Å; angles 90.00, 90.00, 90.00 degrees
Element x y z (fractional)
Tb: 0.5000 0.5000 0.5000
Pm: 0.5000 0.0000 0.2254
Pm: 0.0000 0.5000 0.7746
Ga: 0.5000 0.5000 0.0000
Ga: 0.0000 0.0000 0.0000
Ga: 0.5000 0.0000 0.6660
Ga: 0.0000 0.5000 0.3340
Pt: 0.0000 0.0000 0.5000
Pt: 0.5000 0.0000 0.8770
Pt: 0.0000 0.5000 0.1230



[4]
This record from Alexandria via LeMat-Bulk describes Tb2PmGa2Pt7 after structural relaxation. The functional is PBE-GGA.

Summary:
As for the final energy: -0.2258 Ha/atom. The formation energy comes out at -947 meV per atom.

Cell lengths 4.0798, 4.0798, 14.1971 Å; angles 83.18, 83.18, 89.33 degrees
Element x y z (fractional)
Tb: 0.8699 0.8699 0.3586
Tb: 0.1301 0.1301 0.6414
Pm: 0.0000 0.0000 0.0000
Ga: 0.6063 0.6063 0.7388
Ga: 0.3937 0.3937 0.2612
Pt: 0.5000 0.5000 0.0000
Pt: 0.3537 0.3537 0.4348
Pt: 0.6463 0.6463 0.5652
Pt: 0.9352 0.4354 0.1586
Pt: 0.4354 0.9352 0.1586
Pt: 0.5646 0.0648 0.8414
Pt: 0.0648 0.5646 0.8414



[5]
This record from Alexandria via LeMat-Bulk describes TbPmGa2Pt2 after structural relaxation. The functional is PBE-GGA.

Summary:
As for the final energy: -0.2071 Ha/atom. The formation energy comes out at -1049 meV per atom.

Cell lengths 4.4829, 4.4829, 7.1551 Å; angles 90.00, 90.00, 120.00 degrees
Element x y z (fractional)
Tb: 0.0000 0.0000 0.5000
Pm: 0.0000 0.0000 0.0000
Ga: 0.6667 0.3333 0.7371
Ga: 0.3333 0.6667 0.2629
Pt: 0.6667 0.3333 0.2637
Pt: 0.3333 0.6667 0.7363



[6]
This record from Alexandria via LeMat-Bulk describes TbPm2Ga3Pt4 after structural relaxation. The functional is PBE-GGA.

Summary:
As for the final energy: -0.2099 Ha/atom. The formation energy comes out at -974 meV per atom.

Cell lengths 4.2462, 4.2462, 11.4618 Å; angles 90.00, 90.00, 90.00 degrees
Element x y z (fractional)
Tb: 0.5000 0.5000 0.5000
Pm: 0.5000 0.0000 0.2262
Pm: 0.0000 0.5000 0.7738
Ga: 0.0000 0.0000 0.5000
Ga: 0.5000 0.0000 0.8761
Ga: 0.0000 0.5000 0.1239
Pt: 0.5000 0.5000 0.0000
Pt: 0.0000 0.0000 0.0000
Pt: 0.5000 0.0000 0.6586
Pt: 0.0000 0.5000 0.3414